No. 1
The following is a DFT calculation (GGA-PBEsol) of a relaxed structure of Ba3CaMg.

a b c (Å): 6.643 6.643 6.643
angles (deg): 90.00 90.00 90.00
Sites, in units of the cell vectors:
Ba 0.000 0.000 0.500
Ba 0.000 0.500 0.000
Ba 0.500 0.000 0.000
Ca 0.500 0.500 0.500
Mg 0.000 0.000 0.000

Results
The magnetization comes out at 0.000 μB per atom. The crystal system is cubic. The total energy is -1.7818 eV per atom.

No. 2
The following is a DFT calculation (GGA-PBEsol) of a relaxed structure of BaCaMg2.

a b c (Å): 6.926 6.926 6.926
angles (deg): 147.22 128.95 62.01
Sites, in units of the cell vectors:
Ba 0.000 0.000 0.000
Ca 0.294 0.794 0.500
Mg 0.541 0.541 0.000
Mg 0.738 0.238 0.500

Results
The magnetization comes out at 0.000 μB per atom. The crystal system is orthorhombic. As for the relative energy among the computed polymorphs: 54 meV per atom.

No. 3
The following is a DFT calculation (GGA-PBEsol) of a relaxed structure of BaCaMg2.

a b c (Å): 6.742 6.742 6.083
angles (deg): 110.29 110.29 32.47
Sites, in units of the cell vectors:
Ba 0.000 0.000 0.000
Ca 0.204 0.204 0.654
Mg 0.454 0.454 0.469
Mg 0.759 0.759 0.204

Results
The magnetization comes out at 0.000 μB per atom. The crystal system is monoclinic. As for the relative energy among the computed polymorphs: 53 meV per atom.

No. 4
The following is a DFT calculation (GGA-PBEsol) of a relaxed structure of BaCa2MgNb.

a b c (Å): 5.853 5.853 6.198
angles (deg): 90.00 90.00 90.00
Sites, in units of the cell vectors:
Ba 0.000 0.000 0.000
Ca 0.000 0.500 0.500
Ca 0.500 0.000 0.500
Mg 0.000 0.000 0.500
Nb 0.500 0.500 0.000

Results
The magnetization comes out at 0.890 μB per atom. The crystal system is tetragonal. The total energy is -2.6267 eV per atom.

Which value of magnetization does entry 3 give? 0.000 μB per atom